First-principles (GGA-PBE) data for a relaxed structure of Cs2TcRuCl6, as listed in Alexandria via LeMat-Bulk.

Computed properties:
Space-group type: No. 139
E, eV/atom: -4.13

```
Cs2TcRuCl6
1.0
7.200 0.000 0.000
0.000 7.200 0.000
3.600 3.600 5.083
Cs Ru Tc Cl
2 1 1 6
Cartesian
7.200 3.600 2.542
3.600 7.200 2.542
0.000 0.000 0.000
3.600 3.600 0.000
3.600 3.600 2.609
7.200 7.200 2.474
1.749 1.749 0.000
5.451 5.451 0.000
5.451 1.749 0.000
1.749 5.451 0.000
```